# Cr2CuOs (PBE, optimized geometry)
data_Cr2CuOs
_chemical_formula_sum 'Cr2 Cu1 Os1'
_cell_length_a 3.683
_cell_length_b 3.683
_cell_length_c 3.711
_cell_angle_alpha 90.00
_cell_angle_beta 90.00
_cell_angle_gamma 90.00
_space_group_name_H-M_alt 'P 4/m m m'
_space_group_IT_number 123
_space_group_name_Hall '-P 4 2'
loop_
_atom_site_label
_atom_site_fract_x
_atom_site_fract_y
_atom_site_fract_z
_atom_site_occupancy
Cr1 0.000 0.500 0.000 1
Cu1 0.000 0.000 0.500 1
Os1 0.500 0.500 0.500 1
# - Energy of formation: 219 meV per atom
# - Calculated total energy: -8.424 eV/atom
# - Crystal system: tetragonal